Density functional theory data (PBE with a Hubbard U) for a geometry-optimized NaCrTe2O8 structure.

Properties
Volume in Å³ per cell: 182.6
DFT total energy in eV/cell: -68.087
Space-group type: No. 147

a b c (Å): 5.3542 5.3542 7.3566
angles (deg): 90.00 90.00 120.00
With the nearest neighbours (Å) after each atom.
Element x y z (fractional)
Na 0.0000 0.0000 0.0000  12 O 2.92-3.09
Cr 0.0000 0.0000 0.5000  6 O 2.00
Te 0.3333 0.6667 0.2591  4 O 1.81-1.86
Te 0.6667 0.3333 0.7409  4 O 1.81-1.86
O 0.0311 0.7204 0.3338  1 Te 1.86, 1 Cr 2.00
O 0.2796 0.3107 0.3338  1 Te 1.86, 1 Cr 2.00
O 0.3107 0.0311 0.6662  1 Te 1.86, 1 Cr 2.00
O 0.3333 0.6667 0.0126  1 Te 1.81
O 0.6667 0.3333 0.9874  1 Te 1.81
O 0.6893 0.9689 0.3338  1 Te 1.86, 1 Cr 2.00
O 0.7204 0.6893 0.6662  1 Te 1.86, 1 Cr 2.00
O 0.9689 0.2796 0.6662  1 Te 1.86, 1 Cr 2.00